Entry 1:
BaNd4Ge4 | PBE | optimized geometry

Formation energy from the elements in meV/atom: -602

abc: 5.9719 9.9304 9.9304
angles: 90.00 90.00 90.00
Closest atoms and distances in Å follow each position.
Element x y z (fractional)
Ge 0.6070 0.1823 0.6772  1 Ge 2.61
Ge 0.8930 0.6823 0.1772  1 Ge 2.61
Ge 0.3930 0.3228 0.1823  1 Ge 2.61
Ge 0.3930 0.6772 0.8177  1 Ge 2.61
Ge 0.6070 0.8177 0.3228  1 Ge 2.61
Ge 0.8930 0.3177 0.8228  1 Ge 2.61
Ge 0.1070 0.1772 0.3177  1 Ge 2.61
Ge 0.1070 0.8228 0.6823  1 Ge 2.61
Nd 0.1179 0.1349 0.6203  5 Ge 3.01-3.16
Nd 0.8821 0.3797 0.1349  5 Ge 3.01-3.16
Nd 0.3821 0.6349 0.1203  5 Ge 3.01-3.16
Nd 0.6179 0.1203 0.3651  5 Ge 3.01-3.16
Nd 0.8821 0.6203 0.8651  5 Ge 3.01-3.16
Nd 0.6179 0.8797 0.6349  5 Ge 3.01-3.16
Nd 0.1179 0.8651 0.3797  5 Ge 3.01-3.16
Nd 0.3821 0.3651 0.8797  5 Ge 3.01-3.16
Ba 0.0000 0.0000 0.0000  4 Ge 3.67, 4 Nd 4.06
Ba 0.5000 0.5000 0.5000  4 Ge 3.67, 4 Nd 4.06


Entry 2:
BaNd2Ge | PBE | optimized geometry

Formation energy from the elements in meV/atom: -192

abc: 4.1672 4.1672 11.3067
angles: 79.38 79.38 60.00
Closest atoms and distances in Å follow each position.
Element x y z (fractional)
Nd 0.1161 0.1161 0.6516  3 Ge 2.93
Nd 0.8839 0.8839 0.3484  3 Ge 2.93
Ba 0.0000 0.0000 0.0000  2 Nd 3.85, 6 Ba 4.17
Ge 0.5000 0.5000 0.5000  6 Nd 2.93


Entry 3:
BaNd2Ge | PBE | optimized geometry

Formation energy from the elements in meV/atom: -277

abc: 4.2927 4.2927 10.3854
angles: 78.07 78.07 60.00
Closest atoms and distances in Å follow each position.
Element x y z (fractional)
Nd 0.2800 0.2800 0.1600  3 Ge 2.94
Nd 0.0529 0.0529 0.8413  3 Ge 2.97
Ba 0.5014 0.5014 0.4959  6 Nd 4.20-4.28, 6 Ba 4.29
Ge 0.6657 0.6657 0.0028  6 Nd 2.94-2.97


Entry 4:
Ba2NdGeS5 | PBE | optimized geometry

Uncorrected formation energy in eV/atom: -1.6161

abc: 4.3613 9.3112 12.8752
angles: 90.00 90.00 103.54
Closest atoms and distances in Å follow each position.
Element x y z (fractional)
S 0.3219 0.6439 0.3776  1 Ge 2.39
S 0.6499 0.2998 0.5114  1 Nd 2.71
S 0.5018 0.0036 0.2729  1 Ge 2.27
S 0.7004 0.4009 0.1707  2 Nd 2.83
S 0.6781 0.3561 0.8776  1 Ge 2.39
S 0.0364 0.0727 0.0066  2 Ge 2.40
S 0.9636 0.9273 0.5066  2 Ge 2.40
S 0.3501 0.7002 0.0114  1 Nd 2.71
S 0.2996 0.5991 0.6707  2 Nd 2.83
S 0.4982 0.9964 0.7729  1 Ge 2.27
Ge 0.5517 0.1034 0.9324  4 S 2.27-2.40
Ge 0.4483 0.8966 0.4324  4 S 2.27-2.40
Ba 0.1183 0.2366 0.6870  7 S 3.19-3.46
Ba 0.8745 0.7490 0.8347  6 S 3.18-3.32
Ba 0.1255 0.2510 0.3347  6 S 3.18-3.32
Ba 0.8817 0.7634 0.1870  7 S 3.19-3.46
Nd 0.2010 0.4019 0.0307  6 S 2.71-3.00
Nd 0.7990 0.5981 0.5307  6 S 2.71-3.00


Entry 5:
Ba2NdGeSe5 | PBE | optimized geometry

Uncorrected formation energy in eV/atom: -1.5366

abc: 4.5257 9.7370 13.2702
angles: 90.00 90.00 103.44
Closest atoms and distances in Å follow each position.
Element x y z (fractional)
Se 0.9618 0.9235 0.5157  2 Ge 2.53
Se 0.6817 0.3635 0.8735  1 Ge 2.54
Se 0.0382 0.0765 0.0157  2 Ge 2.53
Se 0.5010 0.0019 0.2688  1 Ge 2.42
Se 0.3526 0.7052 0.0107  1 Nd 2.85
Se 0.4990 0.9981 0.7688  1 Ge 2.42
Se 0.6474 0.2948 0.5107  1 Nd 2.85
Se 0.7002 0.4004 0.1722  2 Nd 2.96
Se 0.3183 0.6365 0.3735  1 Ge 2.54
Se 0.2998 0.5996 0.6722  2 Nd 2.96
Ba 0.8801 0.7602 0.1879  7 Se 3.30-3.54
Ba 0.1199 0.2398 0.6879  7 Se 3.30-3.54
Ba 0.8772 0.7544 0.8327  6 Se 3.30-3.44
Ba 0.1228 0.2456 0.3327  6 Se 3.30-3.44
Nd 0.2028 0.4057 0.0290  6 Se 2.85-3.12
Nd 0.7972 0.5943 0.5290  6 Se 2.85-3.12
Ge 0.5544 0.1088 0.9335  4 Se 2.42-2.54
Ge 0.4456 0.8912 0.4335  4 Se 2.42-2.54


Entry 6:
BaNi6Ge12 | PBE | optimized geometry

Formation energy from the elements in meV/atom: -106

abc: 7.2338 7.2338 7.2338
angles: 103.26 103.26 103.26
Closest atoms and distances in Å follow each position.
Element x y z (fractional)
Ge 0.1367 0.5000 0.8633  4 Ni 2.50-2.57
Ge 0.1702 0.4637 0.4637  3 Ni 2.36-2.55
Ge 0.5000 0.1367 0.8633  4 Ni 2.50-2.57
Ge 0.5363 0.8298 0.5363  3 Ni 2.36-2.55
Ge 0.8633 0.1367 0.5000  4 Ni 2.50-2.57
Ge 0.5000 0.8633 0.1367  4 Ni 2.50-2.57
Ge 0.5363 0.5363 0.8298  3 Ni 2.36-2.55
Ge 0.4637 0.1702 0.4637  3 Ni 2.36-2.55
Ge 0.4637 0.4637 0.1702  3 Ni 2.36-2.55
Ge 0.8298 0.5363 0.5363  3 Ni 2.36-2.55
Ge 0.8633 0.5000 0.1367  4 Ni 2.50-2.57
Ge 0.1367 0.8633 0.5000  4 Ni 2.50-2.57
Ni 0.2343 0.2343 0.6371  7 Ge 2.36-2.57
Ni 0.6371 0.2343 0.2343  7 Ge 2.36-2.57
Ni 0.3629 0.7657 0.7657  7 Ge 2.36-2.57
Ni 0.7657 0.3629 0.7657  7 Ge 2.36-2.57
Ni 0.7657 0.7657 0.3629  7 Ge 2.36-2.57
Ni 0.2343 0.6371 0.2343  7 Ge 2.36-2.57
Ba 0.0000 0.0000 0.0000  18 Ge 3.88-3.94, 12 Ni 3.92-4.30


Entry 7:
BaNiGe3 | PBE | optimized geometry

Formation energy from the elements in meV/atom: 1840

abc: 5.6892 5.6892 5.6892
angles: 90.00 90.00 90.00
Closest atoms and distances in Å follow each position.
Element x y z (fractional)
Ge 0.5000 0.0000 0.0000  2 Ba 2.84
Ge 0.0000 0.5000 0.0000  2 Ba 2.84
Ge 0.0000 0.0000 0.5000  2 Ba 2.84
Ba 0.0000 0.0000 0.0000  6 Ge 2.84
Ni 0.5000 0.5000 0.5000  12 Ge 4.02


Entry 8:
BaNiGe2 | PBE | optimized geometry

Formation energy from the elements in meV/atom: -344

abc: 5.1956 5.1956 8.6150
angles: 72.45 72.45 90.00
Closest atoms and distances in Å follow each position.
Element x y z (fractional)
Ni 0.2500 0.7500 0.5000  4 Ge 2.34
Ni 0.5000 0.5000 0.0000  4 Ge 2.34
Ge 0.3743 0.6250 0.2500  2 Ni 2.34, 2 Ge 2.60
Ge 0.3750 0.6243 0.7500  2 Ni 2.34, 2 Ge 2.60
Ge 0.3757 0.1250 0.2500  2 Ni 2.34, 2 Ge 2.60
Ge 0.8750 0.6257 0.7500  2 Ni 2.34, 2 Ge 2.60
Ba 0.7500 0.2500 0.5000  8 Ge 3.49-3.50, 4 Ni 3.67
Ba 0.0000 0.0000 0.0000  8 Ge 3.49-3.50, 4 Ni 3.67


Entry 9:
BaNi2Ge | PBE | optimized geometry

Formation energy from the elements in meV/atom: -364

abc: 4.1646 4.1645 6.1112
angles: 70.13 70.09 60.00
Closest atoms and distances in Å follow each position.
Element x y z (fractional)
Ni 0.3126 0.8128 0.5623  3 Ge 2.43, 3 Ni 2.50-2.51
Ni 0.6874 0.1872 0.4377  3 Ge 2.43, 3 Ni 2.50-2.51
Ba 0.5000 0.0000 0.0000  8 Ni 3.16-3.44
Ge 0.0000 0.5000 0.5000  6 Ni 2.43


Entry 10:
BaNiGe3 | PBE | optimized geometry

Formation energy from the elements in meV/atom: -94

abc: 4.8441 4.8441 4.8441
angles: 90.00 90.00 90.00
Closest atoms and distances in Å follow each position.
Element x y z (fractional)
Ge 0.5000 0.0000 0.0000  2 Ni 2.42
Ge 0.0000 0.0000 0.5000  2 Ni 2.42
Ge 0.0000 0.5000 0.0000  2 Ni 2.42
Ba 0.5000 0.5000 0.5000  12 Ge 3.43
Ni 0.0000 0.0000 0.0000  6 Ge 2.42


Entry 11:
Ba2Ni5Ge4 | PBE | optimized geometry

Formation energy from the elements in meV/atom: -452

abc: 6.6096 6.6096 9.6160
angles: 62.82 62.82 35.80
Closest atoms and distances in Å follow each position.
Element x y z (fractional)
Ba 0.1776 0.1776 0.8553  7 Ge 3.38-3.54, 6 Ni 3.44-3.77
Ba 0.8224 0.8224 0.1447  7 Ge 3.38-3.54, 6 Ni 3.44-3.77
Ge 0.8567 0.8567 0.5514  7 Ni 2.32-2.60
Ge 0.5326 0.5326 0.1927  3 Ni 2.31-2.40
Ge 0.1433 0.1433 0.4486  7 Ni 2.32-2.60
Ge 0.4674 0.4674 0.8073  3 Ni 2.31-2.40
Ni 0.0353 0.0353 0.3046  4 Ge 2.31-2.36
Ni 0.3365 0.3365 0.4235  4 Ge 2.32-2.45, 1 Ni 2.49
Ni 0.6635 0.6635 0.5765  4 Ge 2.32-2.45, 1 Ni 2.49
Ni 0.5000 0.5000 0.5000  6 Ni 2.49-2.66, 6 Ge 2.60-2.78
Ni 0.9647 0.9647 0.6954  4 Ge 2.31-2.36


Entry 12:
BaNi2Ge | PBE | optimized geometry

Formation energy from the elements in meV/atom: -186

abc: 4.9507 4.9507 8.5494
angles: 73.17 73.17 90.00
Closest atoms and distances in Å follow each position.
Element x y z (fractional)
Ba 0.7500 0.2500 0.5000  8 Ni 3.38-3.39, 4 Ge 3.50
Ba 0.0000 0.0000 0.0000  8 Ni 3.38-3.39, 4 Ge 3.50
Ni 0.3749 0.6250 0.2500  2 Ge 2.31, 2 Ni 2.48
Ni 0.3751 0.1250 0.2500  2 Ge 2.31, 2 Ni 2.48
Ni 0.8750 0.6251 0.7500  2 Ge 2.31, 2 Ni 2.48
Ni 0.3750 0.6249 0.7500  2 Ge 2.31, 2 Ni 2.48
Ge 0.5000 0.5000 0.0000  4 Ni 2.31
Ge 0.2500 0.7500 0.5000  4 Ni 2.31


Entry 13:
BaNiGe2 | PBE | optimized geometry

Formation energy from the elements in meV/atom: -474

abc: 4.1246 4.1246 6.5870
angles: 71.75 71.75 60.00
Closest atoms and distances in Å follow each position.
Element x y z (fractional)
Ba 0.0000 0.0000 0.0000  6 Ge 3.33
Ge 0.7932 0.7932 0.6205  3 Ni 2.49
Ge 0.2068 0.2068 0.3795  3 Ni 2.49
Ni 0.5000 0.5000 0.5000  6 Ge 2.49


Entry 14:
BaNi3Ge | PBE | optimized geometry

Formation energy from the elements in meV/atom: 1764

abc: 4.9148 4.9148 4.9148
angles: 90.00 90.00 90.00
Closest atoms and distances in Å follow each position.
Element x y z (fractional)
Ni 0.0000 0.5000 0.0000  2 Ba 2.46
Ni 0.0000 0.0000 0.5000  2 Ba 2.46
Ni 0.5000 0.0000 0.0000  2 Ba 2.46
Ge 0.5000 0.5000 0.5000  12 Ni 3.48
Ba 0.0000 0.0000 0.0000  6 Ni 2.46


Entry 15:
BaNi3Ge | PBE | optimized geometry

Formation energy from the elements in meV/atom: 107

abc: 4.6146 4.6146 4.6146
angles: 90.00 90.00 90.00
Closest atoms and distances in Å follow each position.
Element x y z (fractional)
Ba 0.5000 0.5000 0.5000  12 Ni 3.26
Ni 0.5000 0.0000 0.0000  2 Ge 2.31
Ni 0.0000 0.5000 0.0000  2 Ge 2.31
Ni 0.0000 0.0000 0.5000  2 Ge 2.31
Ge 0.0000 0.0000 0.0000  6 Ni 2.31


Entry 16:
BaNiGe | PBE | optimized geometry

Formation energy from the elements in meV/atom: -356

abc: 5.0135 4.1754 4.1754
angles: 120.00 90.00 90.00
Closest atoms and distances in Å follow each position.
Element x y z (fractional)
Ni 0.1669 0.6667 0.3333  3 Ge 2.41
Ba 0.6666 0.3333 0.6667  6 Ni 3.48, 6 Ge 3.48
Ge 0.1665 0.0000 0.0000  3 Ni 2.41


Entry 17:
BaNi4Ge12 | PBE | optimized geometry

Formation energy from the elements in meV/atom: -158

abc: 7.3874 7.3874 7.3874
angles: 109.47 109.47 109.47
Closest atoms and distances in Å follow each position.
Element x y z (fractional)
Ni 0.0000 0.5000 0.0000  6 Ge 2.41
Ni 0.5000 0.5000 0.5000  6 Ge 2.41
Ni 0.5000 0.0000 0.0000  6 Ge 2.41
Ni 0.0000 0.0000 0.5000  6 Ge 2.41
Ge 0.3513 0.5172 0.1659  2 Ni 2.41, 1 Ge 2.54
Ge 0.4828 0.8341 0.6487  2 Ni 2.41, 1 Ge 2.54
Ge 0.5172 0.1659 0.3513  2 Ni 2.41, 1 Ge 2.54
Ge 0.1855 0.8341 0.3513  2 Ni 2.41, 1 Ge 2.54
Ge 0.1659 0.6487 0.8145  2 Ni 2.41, 1 Ge 2.54
Ge 0.8341 0.6487 0.4828  2 Ni 2.41, 1 Ge 2.54
Ge 0.3513 0.1855 0.8341  2 Ni 2.41, 1 Ge 2.54
Ge 0.8145 0.1659 0.6487  2 Ni 2.41, 1 Ge 2.54
Ge 0.1659 0.3513 0.5172  2 Ni 2.41, 1 Ge 2.54
Ge 0.8341 0.3513 0.1855  2 Ni 2.41, 1 Ge 2.54
Ge 0.6487 0.4828 0.8341  2 Ni 2.41, 1 Ge 2.54
Ge 0.6487 0.8145 0.1659  2 Ni 2.41, 1 Ge 2.54
Ba 0.0000 0.0000 0.0000  12 Ge 3.31, 8 Ni 3.69


Entry 18:
Ba2Ni3Ge4 | PBE | optimized geometry

Formation energy from the elements in meV/atom: -296

abc: 5.9057 5.9057 7.3500
angles: 101.50 101.50 120.25
Closest atoms and distances in Å follow each position.
Element x y z (fractional)
Ni 0.5000 0.0000 0.0000  4 Ge 2.37
Ni 0.0000 0.0000 0.0000  4 Ge 2.41
Ni 0.0000 0.5000 0.0000  4 Ge 2.37
Ge 0.7058 0.0459 0.7517  3 Ni 2.37-2.41
Ge 0.0459 0.7058 0.7517  3 Ni 2.37-2.41
Ge 0.2942 0.9541 0.2483  3 Ni 2.37-2.41
Ge 0.9541 0.2942 0.2483  3 Ni 2.37-2.41
Ba 0.6477 0.6477 0.2955  8 Ge 3.39-3.53, 6 Ni 3.55-3.56
Ba 0.3523 0.3523 0.7045  8 Ge 3.39-3.53, 6 Ni 3.55-3.56


Entry 19:
Ba3NiGe | PBE | optimized geometry

Formation energy from the elements in meV/atom: 13

abc: 5.7903 5.7903 5.7903
angles: 90.00 90.00 90.00
Closest atoms and distances in Å follow each position.
Element x y z (fractional)
Ba 0.0000 0.5000 0.0000  2 Ni 2.90
Ba 0.5000 0.0000 0.0000  2 Ni 2.90
Ba 0.0000 0.0000 0.5000  2 Ni 2.90
Ge 0.5000 0.5000 0.5000  12 Ba 4.09
Ni 0.0000 0.0000 0.0000  6 Ba 2.90


Entry 20:
BaNi2Ge2 | PBE | optimized geometry

Formation energy from the elements in meV/atom: -26

abc: 7.8619 7.8619 3.1402
angles: 90.00 90.00 90.00
Closest atoms and distances in Å follow each position.
Element x y z (fractional)
Ge 0.1346 0.6346 0.5000  4 Ni 2.51
Ge 0.8654 0.3654 0.5000  4 Ni 2.51
Ge 0.6346 0.8654 0.5000  4 Ni 2.51
Ge 0.3654 0.1346 0.5000  4 Ni 2.51
Ba 0.5000 0.5000 0.0000  2 Ba 3.14, 4 Ni 3.17, 8 Ge 3.44
Ba 0.0000 0.0000 0.0000  2 Ba 3.14, 4 Ni 3.17, 8 Ge 3.44
Ni 0.8867 0.6133 0.0000  4 Ge 2.51, 1 Ni 2.52
Ni 0.6133 0.1133 0.0000  4 Ge 2.51, 1 Ni 2.52
Ni 0.3867 0.8867 0.0000  4 Ge 2.51, 1 Ni 2.52
Ni 0.1133 0.3867 0.0000  4 Ge 2.51, 1 Ni 2.52


Entry 21:
BaNiGe2 | PBE | optimized geometry

Formation energy from the elements in meV/atom: -320

abc: 6.4791 6.6631 8.1756
angles: 90.00 90.00 90.00
Closest atoms and distances in Å follow each position.
Element x y z (fractional)
Ba 0.3906 0.2500 0.0331  8 Ge 3.26-3.56, 3 Ni 3.29-3.56
Ba 0.6094 0.7500 0.9669  8 Ge 3.26-3.56, 3 Ni 3.29-3.56
Ba 0.1094 0.2500 0.5331  8 Ge 3.26-3.56, 3 Ni 3.29-3.56
Ba 0.8906 0.7500 0.4669  8 Ge 3.26-3.56, 3 Ni 3.29-3.56
Ge 0.5885 0.4347 0.6564  1 Ge 2.46, 2 Ni 2.53-2.55
Ge 0.0885 0.5653 0.8436  1 Ge 2.46, 2 Ni 2.53-2.55
Ge 0.5885 0.0653 0.6564  1 Ge 2.46, 2 Ni 2.53-2.55
Ge 0.9115 0.4347 0.1564  1 Ge 2.46, 2 Ni 2.53-2.55
Ge 0.9115 0.0653 0.1564  1 Ge 2.46, 2 Ni 2.53-2.55
Ge 0.0885 0.9347 0.8436  1 Ge 2.46, 2 Ni 2.53-2.55
Ge 0.4115 0.9347 0.3436  1 Ge 2.46, 2 Ni 2.53-2.55
Ge 0.4115 0.5653 0.3436  1 Ge 2.46, 2 Ni 2.53-2.55
Ni 0.6285 0.2500 0.3885  4 Ge 2.53-2.55
Ni 0.3715 0.7500 0.6115  4 Ge 2.53-2.55
Ni 0.8715 0.2500 0.8885  4 Ge 2.53-2.55
Ni 0.1285 0.7500 0.1115  4 Ge 2.53-2.55


Entry 22:
BaNiGe3 | PBE | optimized geometry

Formation energy from the elements in meV/atom: -431

abc: 5.9924 5.9926 6.4574
angles: 90.00 90.00 114.74
Closest atoms and distances in Å follow each position.
Element x y z (fractional)
Ni 0.8854 0.1145 0.7500  5 Ge 2.44-2.48
Ni 0.1146 0.8855 0.2500  5 Ge 2.44-2.48
Ge 0.2195 0.2195 0.0000  2 Ni 2.44
Ge 0.3600 0.6402 0.2500  1 Ni 2.48
Ge 0.2195 0.2195 0.5000  2 Ni 2.44
Ge 0.6400 0.3598 0.7500  1 Ni 2.48
Ge 0.7805 0.7805 0.0000  2 Ni 2.44
Ge 0.7805 0.7805 0.5000  2 Ni 2.44
Ba 0.2645 0.7354 0.7500  12 Ge 3.37-3.47, 4 Ni 3.45-3.57
Ba 0.7355 0.2646 0.2500  12 Ge 3.37-3.47, 4 Ni 3.45-3.57


Entry 23:
BaNiGe2 | PBE | optimized geometry

Formation energy from the elements in meV/atom: 228

abc: 5.0157 5.0157 5.0157
angles: 60.00 60.00 60.00
Closest atoms and distances in Å follow each position.
Element x y z (fractional)
Ge 0.7500 0.7500 0.7500  4 Ba 3.07, 4 Ni 3.07
Ge 0.2500 0.2500 0.2500  4 Ba 3.07, 4 Ni 3.07
Ni 0.0000 0.0000 0.0000  8 Ge 3.07
Ba 0.5000 0.5000 0.5000  8 Ge 3.07


For reference, magnetization by record: 0.00; 0.00; 0.92; 0.00; 0.00; 0.00; 0.65; 0.00; 0.00; 0.00; 0.00; 0.00; 0.00; 0.00; 1.14; 0.00; 0.00; 0.00; 0.00; 0.00; 0.00; 0.00; 0.00 μB per formula unit.
For reference, D(E_F) by record: 0.515; 1.308; 1.378; 0.150; 0.151; 0.447; 1.166; 0.526; 0.725; 0.530; 0.666; 0.793; 0.433; 0.766; 1.587; 1.055; 0.562; 0.995; 0.553; 0.361; 0.342; 0.426; 0.286 states/eV/atom.